Ce2ThS | GGA-PBE | optimized geometry

Output
VASP energy: -6.654 eV per atom
raw formation energy: -0.800 eV/atom

Cell lengths 9.585, 9.585, 9.585 Å; angles 22.26, 22.26, 22.26 degrees
Fractional positions:
Ce1 0.000 0.000 0.000
Ce2 0.206 0.206 0.206
Th1 0.436 0.436 0.436
S1 0.603 0.603 0.603